A plane-wave DFT calculation with PBE-GGA was carried out for a relaxed PrSm2Ga2 crystal.

a b c (Å): 7.824 7.824 4.482
angles (deg): 90.00 90.00 90.00
Space group P4/mbm (No. 127)
Unique sites:
Pr 0.000 0.000 0.000 x2
Sm 0.174 0.326 0.500 x4
Ga 0.117 0.617 0.000 x4

Values from the calculation:
- N(E_F) (states/eV per atom) = 1.053
- E (eV/atom) = -4.53
- volume (Å³ per cell) = 274
- formation energy (meV/atom) = -473

***

A plane-wave DFT calculation with PBE-GGA was carried out for a relaxed SrBeNi2 crystal.

a b c (Å): 3.874 3.874 8.394
angles (deg): 90.00 90.00 90.00
Space group I-4m2 (No. 119)
Unique sites:
Sr 0.000 0.000 0.000 x2
Be 0.000 0.500 0.750 x2
Ni 0.000 0.000 0.500 x2
Ni 0.000 0.500 0.250 x2

Values from the calculation:
- N(E_F) (states/eV per atom) = 0.330
- E (eV/atom) = -3.73
- volume (Å³ per cell) = 126
- formation energy (meV/atom) = 510

***

A plane-wave DFT calculation with PBE-GGA was carried out for a relaxed GdCd2Ag crystal.

a b c (Å): 4.447 4.447 4.821
angles (deg): 90.00 90.00 90.00
Space group P4/mmm (No. 123)
Unique sites:
Gd 0.000 0.000 0.000 x1
Cd 0.000 0.500 0.500 x2
Ag 0.500 0.500 0.000 x1

Values from the calculation:
- N(E_F) (states/eV per atom) = 1.060
- E (eV/atom) = -4.88
- volume (Å³ per cell) = 95
- formation energy (meV/atom) = -186

***

A plane-wave DFT calculation with PBE-GGA was carried out for a relaxed EuDyAlZn crystal.

a b c (Å): 7.359 7.359 7.359
angles (deg): 90.00 90.00 90.00
Space group F-43m (No. 216)
Unique sites:
Eu 0.000 0.000 0.000 x4
Dy 0.000 0.000 0.500 x4
Al 0.250 0.250 0.750 x4
Zn 0.250 0.250 0.250 x4

Values from the calculation:
- N(E_F) (states/eV per atom) = 1.000
- E (eV/atom) = -5.25
- volume (Å³ per cell) = 399
- formation energy (meV/atom) = -276

***

A plane-wave DFT calculation with PBE-GGA was carried out for a relaxed Pm2Al4CdAg3 crystal.

a b c (Å): 4.390 4.390 10.960
angles (deg): 90.00 90.00 90.00
Space group P-4m2 (No. 115)
Unique sites:
Pm 0.000 0.500 0.245 x2
Al 0.000 0.000 0.000 x1
Al 0.000 0.500 0.644 x2
Al 0.500 0.500 0.000 x1
Cd 0.000 0.000 0.500 x1
Ag 0.000 0.500 0.872 x2
Ag 0.500 0.500 0.500 x1

Values from the calculation:
- N(E_F) (states/eV per atom) = 0.502
- E (eV/atom) = -3.73
- volume (Å³ per cell) = 211
- formation energy (meV/atom) = -332

***

A plane-wave DFT calculation with PBE-GGA was carried out for a relaxed TmPa2Sb crystal.

a b c (Å): 4.443 4.443 5.053
angles (deg): 90.00 90.00 90.00
Space group P4/mmm (No. 123)
Unique sites:
Tm 0.000 0.000 0.000 x1
Pa 0.000 0.500 0.500 x2
Sb 0.500 0.500 0.000 x1

Values from the calculation:
- N(E_F) (states/eV per atom) = 1.985
- E (eV/atom) = -7.18
- volume (Å³ per cell) = 100
- formation energy without anion corrections (eV/f.u.) = -1.13